Material: CoPt2Cl
Method: DFT, GGA-PBEsol
State: optimized geometry

Computed properties:
DOS(E_F), states/eV/f.u.: 6.4
SG: Pmmm, No. 47

```
4
Lattice="2.736 0.000 0.000 0.000 4.639 0.000 0.000 0.000 4.654" Properties=species:S:1:pos:R:3 pbc="T T T"
Co 0.000 0.000 0.000
Pt 0.000 2.319 2.327
Pt 1.368 0.000 2.327
Cl 1.368 2.319 0.000
```

---

Material: CoReCl
Method: DFT, GGA-PBEsol
State: optimized geometry

Computed properties:
DOS(E_F), states/eV/f.u.: 2.8
SG: P3m1, No. 156

```
3
Lattice="2.815 0.000 0.000 -1.407 2.437 0.000 0.000 0.000 5.814" Properties=species:S:1:pos:R:3 pbc="T T T"
Co 0.000 0.000 0.000
Re 0.000 1.625 3.966
Cl 1.407 0.812 1.857
```

---

Material: CoReCl3
Method: DFT, GGA-PBEsol
State: optimized geometry

Computed properties:
DOS(E_F), states/eV/f.u.: 11.1
SG: Pm-3m, No. 221

```
5
Lattice="4.706 0.000 0.000 0.000 4.706 0.000 0.000 0.000 4.706" Properties=species:S:1:pos:R:3 pbc="T T T"
Co 0.000 0.000 0.000
Re 2.353 2.353 2.353
Cl 0.000 2.353 2.353
Cl 2.353 0.000 2.353
Cl 2.353 2.353 0.000
```

---

Material: CoRhCl2
Method: DFT, GGA-PBEsol
State: optimized geometry

Computed properties:
Relative energy among the computed polymorphs, meV/atom: 0
DOS(E_F), states/eV/f.u.: 5.8
SG: R-3m, No. 166

```
4
Lattice="1.559 0.900 7.431 -1.559 0.900 7.431 0.000 -1.800 7.431" Properties=species:S:1:pos:R:3 pbc="T T T"
Co 0.000 0.000 0.000
Rh 0.000 0.000 11.146
Cl 0.000 0.000 8.894
Cl 0.000 0.000 13.398
```

---

Material: CoRhCl2
Method: DFT, GGA-PBEsol
State: optimized geometry

Computed properties:
Relative energy among the computed polymorphs, meV/atom: 415
DOS(E_F), states/eV/f.u.: 5.1
SG: P4/mmm, No. 123

```
4
Lattice="4.281 0.000 0.000 0.000 4.281 0.000 0.000 0.000 3.057" Properties=species:S:1:pos:R:3 pbc="T T T"
Co 0.000 0.000 0.000
Rh 2.141 2.141 0.000
Cl 0.000 2.141 1.528
Cl 2.141 0.000 1.528
```

---

Material: CoRhCl2
Method: DFT, GGA-PBEsol
State: optimized geometry

Computed properties:
Relative energy among the computed polymorphs, meV/atom: 27
DOS(E_F), states/eV/f.u.: 4.8
SG: Cmm2, No. 35

```
4
Lattice="1.837 -2.502 0.000 1.837 2.502 0.000 0.000 0.000 7.369" Properties=species:S:1:pos:R:3 pbc="T T T"
Co 0.000 0.000 0.000
Rh 1.837 0.000 5.968
Cl 0.000 0.000 4.347
Cl 1.837 0.000 1.386
```

---

Material: CoRhCl2
Method: DFT, GGA-PBEsol
State: optimized geometry

Computed properties:
Relative energy among the computed polymorphs, meV/atom: 438
DOS(E_F), states/eV/f.u.: 6.1
SG: Fm-3m, No. 225

```
4
Lattice="0.000 3.045 3.045 3.045 0.000 3.045 3.045 3.045 0.000" Properties=species:S:1:pos:R:3 pbc="T T T"
Co 0.000 0.000 0.000
Rh 3.045 3.045 3.045
Cl 1.522 1.522 1.522
Cl 4.567 4.567 4.567
```

---

Material: CoRuS2Cl
Method: DFT, GGA-PBEsol
State: optimized geometry

Computed properties:
Relative energy among the computed polymorphs, meV/atom: 0
DOS(E_F), states/eV/f.u.: 5.1
SG: P4/mmm, No. 123

```
5
Lattice="4.465 0.000 0.000 0.000 4.465 0.000 0.000 0.000 4.820" Properties=species:S:1:pos:R:3 pbc="T T T"
Co 0.000 0.000 0.000
Ru 2.232 2.232 2.410
S 0.000 2.232 2.410
S 2.232 0.000 2.410
Cl 2.232 2.232 0.000
```

---

Material: CoRuS2Cl
Method: DFT, GGA-PBEsol
State: optimized geometry

Computed properties:
Relative energy among the computed polymorphs, meV/atom: 27
DOS(E_F), states/eV/f.u.: 6.2
SG: P4/mmm, No. 123

```
5
Lattice="4.325 0.000 0.000 0.000 4.325 0.000 0.000 0.000 4.363" Properties=species:S:1:pos:R:3 pbc="T T T"
Co 0.000 0.000 0.000
Ru 2.162 2.162 2.182
S 0.000 2.162 0.000
S 2.162 0.000 0.000
Cl 0.000 0.000 2.182
```

---

Material: Co3SCl
Method: DFT, GGA-PBEsol
State: optimized geometry

Computed properties:
DOS(E_F), states/eV/f.u.: 8.5
SG: Pm-3m, No. 221

```
5
Lattice="4.232 0.000 0.000 0.000 4.232 0.000 0.000 0.000 4.232" Properties=species:S:1:pos:R:3 pbc="T T T"
Co 0.000 0.000 2.116
Co 0.000 2.116 0.000
Co 2.116 0.000 0.000
S 0.000 0.000 0.000
Cl 2.116 2.116 2.116
```

---

Material: ScCoSCl2
Method: DFT, GGA-PBEsol
State: optimized geometry

Computed properties:
DOS(E_F), states/eV/f.u.: 8.4
SG: P4/mmm, No. 123

```
5
Lattice="4.992 0.000 0.000 0.000 4.992 0.000 0.000 0.000 4.791" Properties=species:S:1:pos:R:3 pbc="T T T"
Sc 0.000 0.000 0.000
Co 2.496 2.496 0.000
S 0.000 0.000 2.396
Cl 0.000 2.496 2.396
Cl 2.496 0.000 2.396
```

---

Material: CoSb2Cl
Method: DFT, GGA-PBEsol
State: optimized geometry

Computed properties:
Relative energy among the computed polymorphs, meV/atom: 0
DOS(E_F), states/eV/f.u.: 3.0
SG: P4mm, No. 99

```
4
Lattice="3.204 0.000 0.000 0.000 3.204 0.000 0.000 0.000 8.828" Properties=species:S:1:pos:R:3 pbc="T T T"
Co 0.000 0.000 0.000
Sb 0.000 0.000 2.485
Sb 1.602 1.602 7.848
Cl 1.602 1.602 5.475
```

---

Material: Co2SbCl
Method: DFT, GGA-PBEsol
State: optimized geometry

Computed properties:
Relative energy among the computed polymorphs, meV/atom: 0
DOS(E_F), states/eV/f.u.: 5.2
SG: P4mm, No. 99

```
4
Lattice="3.162 0.000 0.000 0.000 3.162 0.000 0.000 0.000 6.997" Properties=species:S:1:pos:R:3 pbc="T T T"
Co 0.000 0.000 0.000
Co 1.581 1.581 0.997
Sb 0.000 0.000 2.556
Cl 1.581 1.581 5.675
```

---

Material: Co2SbCl
Method: DFT, GGA-PBEsol
State: optimized geometry

Computed properties:
Relative energy among the computed polymorphs, meV/atom: 32
DOS(E_F), states/eV/f.u.: 4.2
SG: Pmmm, No. 47

```
4
Lattice="3.018 0.000 0.000 0.000 3.314 0.000 0.000 0.000 6.288" Properties=species:S:1:pos:R:3 pbc="T T T"
Co 0.000 0.000 1.272
Co 0.000 0.000 5.016
Sb 1.509 1.657 0.000
Cl 1.509 0.000 3.144
```

---

Material: CoSb2Cl
Method: DFT, GGA-PBEsol
State: optimized geometry

Computed properties:
Relative energy among the computed polymorphs, meV/atom: 426
DOS(E_F), states/eV/f.u.: 4.2
SG: F-43m, No. 216

```
4
Lattice="0.000 3.437 3.437 3.437 0.000 3.437 3.437 3.437 0.000" Properties=species:S:1:pos:R:3 pbc="T T T"
Co 0.000 0.000 0.000
Sb 1.718 1.718 1.718
Sb 3.437 3.437 3.437
Cl 5.155 5.155 5.155
```

---

Material: CoSb2Cl
Method: DFT, GGA-PBEsol
State: optimized geometry

Computed properties:
Relative energy among the computed polymorphs, meV/atom: 156
DOS(E_F), states/eV/f.u.: 4.4
SG: P4mm, No. 99

```
4
Lattice="3.075 0.000 0.000 0.000 3.075 0.000 0.000 0.000 8.724" Properties=species:S:1:pos:R:3 pbc="T T T"
Co 0.000 0.000 0.000
Sb 0.000 0.000 4.333
Sb 1.537 1.537 1.552
Cl 1.537 1.537 7.262
```

---

Material: ScCo2Cl
Method: DFT, GGA-PBEsol
State: optimized geometry

Computed properties:
Relative energy among the computed polymorphs, meV/atom: 259
DOS(E_F), states/eV/f.u.: 4.4
SG: I4/mmm, No. 139

```
4
Lattice="-1.712 1.712 4.985 1.712 -1.712 4.985 1.712 1.712 -4.985" Properties=species:S:1:pos:R:3 pbc="T T T"
Sc 0.000 0.000 0.000
Co 1.712 0.000 2.492
Co 0.000 1.712 2.492
Cl 0.000 0.000 4.985
```

---

Material: ScCo2Cl
Method: DFT, GGA-PBEsol
State: optimized geometry

Computed properties:
Relative energy among the computed polymorphs, meV/atom: 466
DOS(E_F), states/eV/f.u.: 4.5
SG: Cmmm, No. 65

```
4
Lattice="2.385 -4.158 0.000 2.385 4.158 0.000 0.000 0.000 3.035" Properties=species:S:1:pos:R:3 pbc="T T T"
Sc 0.000 0.000 0.000
Co 1.193 2.079 1.518
Co 1.193 -2.079 1.518
Cl 2.385 0.000 0.000
```

---

Material: ScCoCl2
Method: DFT, GGA-PBEsol
State: optimized geometry

Computed properties:
Relative energy among the computed polymorphs, meV/atom: 530
DOS(E_F), states/eV/f.u.: 5.4
SG: F-43m, No. 216

```
4
Lattice="0.000 3.173 3.173 3.173 0.000 3.173 3.173 3.173 0.000" Properties=species:S:1:pos:R:3 pbc="T T T"
Sc 0.000 0.000 0.000
Co 1.587 1.587 1.587
Cl 3.173 3.173 3.173
Cl 4.760 4.760 4.760
```

---

Material: ScCo2Cl
Method: DFT, GGA-PBEsol
State: optimized geometry

Computed properties:
Relative energy among the computed polymorphs, meV/atom: 0
DOS(E_F), states/eV/f.u.: 3.7
SG: P4mm, No. 99

```
4
Lattice="3.082 0.000 0.000 0.000 3.082 0.000 0.000 0.000 7.000" Properties=species:S:1:pos:R:3 pbc="T T T"
Sc 0.000 0.000 0.000
Co 0.000 0.000 4.509
Co 1.541 1.541 5.265
Cl 1.541 1.541 1.525
```

---

Material: Sc2CoCl2
Method: DFT, GGA-PBEsol
State: optimized geometry

Computed properties:
DOS(E_F), states/eV/f.u.: 5.6
SG: I4/mmm, No. 139

```
5
Lattice="-2.496 2.496 3.487 2.496 -2.496 3.487 2.496 2.496 -3.487" Properties=species:S:1:pos:R:3 pbc="T T T"
Sc 2.496 0.000 1.744
Sc 0.000 2.496 1.744
Co 0.000 0.000 0.000
Cl 0.000 0.000 2.070
Cl 0.000 0.000 4.905
```

---

Material: ScCoCl2
Method: DFT, GGA-PBEsol
State: optimized geometry

Computed properties:
Relative energy among the computed polymorphs, meV/atom: 0
DOS(E_F), states/eV/f.u.: 5.2
SG: R-3m, No. 166

```
4
Lattice="1.608 0.928 7.780 -1.608 0.928 7.780 0.000 -1.857 7.780" Properties=species:S:1:pos:R:3 pbc="T T T"
Sc 0.000 0.000 0.000
Co 0.000 0.000 11.670
Cl 0.000 0.000 9.515
Cl 0.000 0.000 13.825
```

---

Material: ScCoCl2
Method: DFT, GGA-PBEsol
State: optimized geometry

Computed properties:
Relative energy among the computed polymorphs, meV/atom: 21
DOS(E_F), states/eV/f.u.: 1.0
SG: I-42d, No. 122

```
8
Lattice="-2.186 2.186 7.114 2.186 -2.186 7.114 2.186 2.186 -7.114" Properties=species:S:1:pos:R:3 pbc="T T T"
Sc 0.000 0.000 0.000
Sc 0.000 2.186 3.557
Co 2.186 0.000 3.557
Co 0.000 0.000 7.114
Cl 1.093 -0.951 5.335
Cl 1.235 1.093 1.778
Cl 1.093 3.137 -1.778
Cl 0.951 1.093 8.892
```

---

Material: ScCoTeCl2
Method: DFT, GGA-PBEsol
State: optimized geometry

Computed properties:
DOS(E_F), states/eV/f.u.: 3.5
SG: P4/mmm, No. 123

```
5
Lattice="4.421 0.000 0.000 0.000 4.421 0.000 0.000 0.000 5.218" Properties=species:S:1:pos:R:3 pbc="T T T"
Sc 0.000 0.000 0.000
Co 2.210 2.210 2.609
Te 2.210 2.210 0.000
Cl 0.000 2.210 2.609
Cl 2.210 0.000 2.609
```

---

Material: Co2SeCl
Method: DFT, GGA-PBEsol
State: optimized geometry

Computed properties:
DOS(E_F), states/eV/f.u.: 6.0
SG: Fm-3m, No. 225

```
4
Lattice="0.000 2.954 2.954 2.954 0.000 2.954 2.954 2.954 0.000" Properties=species:S:1:pos:R:3 pbc="T T T"
Co 1.477 1.477 1.477
Co 4.431 4.431 4.431
Se 0.000 0.000 0.000
Cl 2.954 2.954 2.954
```

---

Material: CoSiCl2
Method: DFT, GGA-PBEsol
State: optimized geometry

Computed properties:
Relative energy among the computed polymorphs, meV/atom: 0
DOS(E_F), states/eV/f.u.: 3.3
SG: P4mm, No. 99

```
4
Lattice="2.944 0.000 0.000 0.000 2.944 0.000 0.000 0.000 8.325" Properties=species:S:1:pos:R:3 pbc="T T T"
Co 0.000 0.000 0.000
Si 1.472 1.472 7.244
Cl 0.000 0.000 2.119
Cl 1.472 1.472 5.218
```

---

Material: CoSiCl2
Method: DFT, GGA-PBEsol
State: optimized geometry

Computed properties:
Relative energy among the computed polymorphs, meV/atom: 426
DOS(E_F), states/eV/f.u.: 2.9
SG: Imm2, No. 44

```
4
Lattice="-1.537 2.134 5.332 1.537 -2.134 5.332 1.537 2.134 -5.332" Properties=species:S:1:pos:R:3 pbc="T T T"
Co 0.000 0.000 0.000
Si 0.000 2.134 3.616
Cl 1.537 0.000 1.922
Cl 0.000 0.000 5.016
```

---

Material: CoSi2Cl
Method: DFT, GGA-PBEsol
State: optimized geometry

Computed properties:
DOS(E_F), states/eV/f.u.: 2.9
SG: I4/mmm, No. 139

```
4
Lattice="-1.939 1.939 3.708 1.939 -1.939 3.708 1.939 1.939 -3.708" Properties=species:S:1:pos:R:3 pbc="T T T"
Co 0.000 0.000 0.000
Si 1.939 0.000 1.854
Si 0.000 1.939 1.854
Cl 0.000 0.000 3.708
```

---

Material: CoSiCl2
Method: DFT, GGA-PBEsol
State: optimized geometry

Computed properties:
Relative energy among the computed polymorphs, meV/atom: 837
DOS(E_F), states/eV/f.u.: 5.4
SG: I-4m2, No. 119

```
4
Lattice="-1.778 1.778 5.360 1.778 -1.778 5.360 1.778 1.778 -5.360" Properties=species:S:1:pos:R:3 pbc="T T T"
Co 0.000 0.000 0.000
Si 0.000 1.778 2.680
Cl 1.778 0.000 2.680
Cl 0.000 0.000 5.360
```

---

Material: CoSiCl2
Method: DFT, GGA-PBEsol
State: optimized geometry

Computed properties:
Relative energy among the computed polymorphs, meV/atom: 543
DOS(E_F), states/eV/f.u.: 4.0
SG: Cmmm, No. 65

```
4
Lattice="1.511 -2.796 0.000 1.511 2.796 0.000 0.000 0.000 8.192" Properties=species:S:1:pos:R:3 pbc="T T T"
Co 0.000 0.000 0.000
Si 0.000 0.000 4.096
Cl 1.511 0.000 1.703
Cl 1.511 0.000 6.489
```

---

no.,ΔE_f (raw) (eV/atom)
1,0.52
2,0.38
3,0.95
4,0.11
5,0.52
6,0.14
7,0.55
8,0.73
9,0.76
10,0.47
11,0.54
12,0.01
13,0.09
14,0.12
15,0.43
16,0.16
17,0.00
18,0.21
19,-0.12
20,-0.26
21,-0.68
22,-0.65
23,-0.63
24,-0.46
25,0.39
26,-0.33
27,0.09
28,0.53
29,0.50
30,0.21